The following is a PBE calculation of a relaxed Pr5SmHo6 crystal, from the Alexandria database.

POSCAR file:
```
Pr5SmHo6
1.0
3.1388 -5.4352 0.0000
3.1388 5.4352 0.0000
-2.0880 0.0000 11.6565
Pr Sm Ho
5 1 6
direct
0.0000 0.0000 0.0000
0.1665 0.8335 0.5000
0.3332 0.6668 0.0000
0.6668 0.3332 0.0000
0.8335 0.1665 0.5000
0.5000 0.5000 0.5000
0.0840 0.4170 0.2507
0.2501 0.2501 0.7494
0.4170 0.0840 0.2507
0.5830 0.9160 0.7493
0.7499 0.7499 0.2506
0.9160 0.5830 0.7493
```

Summary:
SG = C2/m (12)
distance to the lowest polymorph of the same formula = 0 meV/atom
final energy = -0.1713 Ha/atom
calculated formation energy = 13 meV per atom

=====

The following is a PBE calculation of a relaxed Pr2Sm12Ho crystal, from the Alexandria database.

POSCAR file:
```
Pr2Sm12Ho
1.0
3.5928 -5.7814 0.0000
3.5928 5.7814 0.0000
0.0000 0.0000 25.0124
Pr Sm Ho
4 24 2
direct
0.2500 0.7500 0.2345
0.2500 0.7500 0.7731
0.7500 0.2500 0.2269
0.7500 0.2500 0.7655
0.0015 0.5015 0.6260
0.0010 0.9990 0.4246
0.0196 0.5196 0.0824
0.0239 0.9761 0.9403
0.2500 0.2500 0.1730
0.2500 0.2500 0.3015
0.2500 0.2500 0.6985
0.2500 0.2500 0.8270
0.4761 0.5239 0.9403
0.4804 0.9804 0.0824
0.4990 0.5010 0.4246
0.4985 0.9985 0.6260
0.5015 0.0015 0.3740
0.5010 0.4990 0.5754
0.5196 0.0196 0.9176
0.5239 0.4761 0.0597
0.7500 0.7500 0.1730
0.7500 0.7500 0.3015
0.7500 0.7500 0.6985
0.7500 0.7500 0.8270
0.9761 0.0239 0.0597
0.9804 0.4804 0.9176
0.9990 0.0010 0.5754
0.9985 0.4985 0.3740
0.2500 0.7500 0.5002
0.7500 0.2500 0.4998
```

Summary:
SG = Cmme (67)
final energy = -0.1677 Ha/atom
calculated formation energy = 154 meV per atom